Entry 1:
Lu2Ni: optimized geometry, GGA-PBE.

Output
Energy relative to the elements ... 828 meV per atom
Electronic total energy ... -24.3 eV/cell
Symmetry ... Fd-3m, No. 227

Lattice parameters (Å, degrees): 5.8484 5.8484 5.8484 60.00 60.00 60.00
Last column: nearest neighbours and their distance in Å.
Fractional positions:
Lu 0.0000 0.0000 0.0000  6 Lu 2.92
Lu 0.0000 0.0000 0.5000  6 Lu 2.92
Lu 0.0000 0.5000 0.0000  6 Lu 2.92
Lu 0.5000 0.0000 0.0000  6 Lu 2.92
Ni 0.3750 0.3750 0.3750  12 Lu 3.43, 4 Ni 3.58
Ni 0.6250 0.6250 0.6250  12 Lu 3.43, 4 Ni 3.58

Entry 2:
SmSCl: optimized geometry, GGA-PBE.

Output
Electronic total energy ... -34.5 eV/cell
Symmetry ... P2_1/m, No. 11

Lattice parameters (Å, degrees): 5.3414 4.3461 7.1268 90.00 108.70 90.00
Last column: nearest neighbours and their distance in Å.
Fractional positions:
Sm 0.1680 0.2500 0.3065  4 S 2.78-2.83, 3 Cl 2.85-2.91
Sm 0.8320 0.7500 0.6935  4 S 2.78-2.83, 3 Cl 2.85-2.91
S 0.2723 0.7500 0.5625  4 Sm 2.78-2.83
S 0.7277 0.2500 0.4375  4 Sm 2.78-2.83
Cl 0.2516 0.7500 0.0621  3 Sm 2.85-2.91
Cl 0.7484 0.2500 0.9379  3 Sm 2.85-2.91

Entry 3:
LuCdFeAs: optimized geometry, GGA-PBE.

Output
Electronic total energy ... -18.6 eV/cell
Symmetry ... F-43m, No. 216

Lattice parameters (Å, degrees): 4.7388 4.7388 4.7388 60.00 60.00 60.00
Last column: nearest neighbours and their distance in Å.
Fractional positions:
Lu 0.0000 0.0000 0.0000  4 Cd 2.90, 4 As 2.90
Cd 0.7500 0.7500 0.7500  4 Fe 2.90, 4 Lu 2.90
Fe 0.5000 0.5000 0.5000  4 Cd 2.90, 4 As 2.90
As 0.2500 0.2500 0.2500  4 Fe 2.90, 4 Lu 2.90

Entry 4:
Nd2Ho2CCl4F: optimized geometry, GGA-PBE.

Output
Electronic total energy ... -55.7 eV/cell
Symmetry ... C2/m, No. 12

Lattice parameters (Å, degrees): 8.7439 8.7439 7.4187 102.12 102.12 24.46
Last column: nearest neighbours and their distance in Å.
Fractional positions:
Nd 0.0014 0.0014 0.2626  2 C 2.56, 2 F 2.68, 1 Cl 2.84
Nd 0.9986 0.9986 0.7374  2 C 2.56, 2 F 2.68, 1 Cl 2.84
Ho 0.3573 0.3573 0.4229  1 C 2.38
Ho 0.6427 0.6427 0.5771  1 C 2.38
C 0.5000 0.5000 0.5000  2 Ho 2.38, 4 Nd 2.56
Cl 0.1686 0.1686 0.8443  2 Ho 2.68, 1 Nd 2.84
Cl 0.1754 0.1754 0.3328  3 Ho 2.73-3.04, 1 Nd 2.91
Cl 0.8246 0.8246 0.6672  3 Ho 2.73-3.04, 1 Nd 2.91
Cl 0.8314 0.8314 0.1557  2 Ho 2.68, 1 Nd 2.84
F 0.5000 0.5000 0.0000  4 Nd 2.68

Entry 5:
HfZnIr2: optimized geometry, GGA-PBE.

Output
Energy relative to the elements ... -227 meV per atom
Electronic total energy ... -29.8 eV/cell
Symmetry ... F-43m, No. 216

Lattice parameters (Å, degrees): 4.4964 4.4964 4.4964 60.00 60.00 60.00
Last column: nearest neighbours and their distance in Å.
Fractional positions:
Hf 0.0000 0.0000 0.0000  4 Ir 2.75, 4 Zn 2.75
Zn 0.2500 0.2500 0.2500  4 Ir 2.75, 4 Hf 2.75
Ir 0.5000 0.5000 0.5000  4 Ir 2.75, 4 Zn 2.75
Ir 0.7500 0.7500 0.7500  4 Ir 2.75, 4 Hf 2.75

Entry 6:
ZnSbNO: optimized geometry, GGA-PBE.

Output
Electronic total energy ... -38.3 eV/cell
Symmetry ... P4/nmm, No. 129

Lattice parameters (Å, degrees): 3.6510 3.6510 7.7433 90.00 90.00 90.00
Last column: nearest neighbours and their distance in Å.
Fractional positions:
Zn 0.2500 0.7500 0.0000  4 N 2.14
Zn 0.7500 0.2500 0.0000  4 N 2.14
Sb 0.2500 0.2500 0.3367  4 O 2.22
Sb 0.7500 0.7500 0.6633  4 O 2.22
N 0.2500 0.2500 0.8555  4 Zn 2.14
N 0.7500 0.7500 0.1445  4 Zn 2.14
O 0.2500 0.7500 0.5000  4 Sb 2.22
O 0.7500 0.2500 0.5000  4 Sb 2.22

Entry 7:
Al2CdTe: optimized geometry, GGA-PBE.

Output
Electronic total energy ... -10.3 eV/cell
Symmetry ... F-43m, No. 216

Lattice parameters (Å, degrees): 5.0523 5.0523 5.0523 60.00 60.00 60.00
Last column: nearest neighbours and their distance in Å.
Fractional positions:
Al 0.0000 0.0000 0.0000  4 Cd 3.09, 4 Al 3.09
Al 0.2500 0.2500 0.2500  4 Te 3.09, 4 Al 3.09
Cd 0.7500 0.7500 0.7500  4 Al 3.09, 4 Te 3.09
Te 0.5000 0.5000 0.5000  4 Cd 3.09, 4 Al 3.09

Entry 8:
InSb5Pd3: optimized geometry, GGA-PBE.

Output
Electronic total energy ... -40.3 eV/cell
Symmetry ... P6/mmm, No. 191

Lattice parameters (Å, degrees): 5.6106 5.6106 8.1279 90.00 90.00 120.00
Last column: nearest neighbours and their distance in Å.
Fractional positions:
In 0.0000 0.0000 0.0000  14 Sb 3.69-4.06
Sb 0.0000 0.0000 0.5000  6 Pd 2.81
Sb 0.3333 0.6667 0.2162  3 Pd 2.82
Sb 0.3333 0.6667 0.7838  3 Pd 2.82
Sb 0.6667 0.3333 0.2162  3 Pd 2.82
Sb 0.6667 0.3333 0.7838  3 Pd 2.82
Pd 0.0000 0.5000 0.5000  4 Pd 2.81, 6 Sb 2.81-2.82
Pd 0.5000 0.0000 0.5000  4 Pd 2.81, 6 Sb 2.81-2.82
Pd 0.5000 0.5000 0.5000  4 Pd 2.81, 6 Sb 2.81-2.82

Entry 9:
Gd2Y3Tm3: optimized geometry, GGA-PBE.

Output
Energy relative to the elements ... 7 meV per atom
Electronic total energy ... -42.1 eV/cell
Symmetry ... Amm2, No. 38

Lattice parameters (Å, degrees): 5.6219 7.2282 7.2282 59.96 90.00 90.00
Last column: nearest neighbours and their distance in Å.
Fractional positions:
Gd 0.0000 0.0000 0.0000  6 Tm 3.50-3.62, 6 Y 3.50-3.61
Gd 0.5000 0.3333 0.3333  6 Tm 3.50-3.61, 6 Y 3.51-3.62
Y 0.0000 0.5006 0.5006  4 Y 3.50, 4 Gd 3.51-3.61, 4 Tm 3.60-3.62
Y 0.5000 0.3345 0.8333  4 Tm 3.50-3.63, 4 Y 3.50-3.62, 4 Gd 3.50-3.62
Y 0.5000 0.8333 0.3345  4 Tm 3.50-3.63, 4 Y 3.50-3.62, 4 Gd 3.50-3.62
Tm 0.0000 0.5011 0.9990  4 Tm 3.49-3.63, 4 Y 3.50-3.62, 4 Gd 3.50-3.62
Tm 0.0000 0.9990 0.5011  4 Tm 3.49-3.63, 4 Y 3.50-3.62, 4 Gd 3.50-3.62
Tm 0.5000 0.8329 0.8329  4 Tm 3.49, 4 Gd 3.50-3.61, 4 Y 3.60-3.63

Entry 10:
Ba2NbAuO6: optimized geometry, GGA-PBE.

Output
Electronic total energy ... -67.9 eV/cell
Symmetry ... I4/m, No. 87

Lattice parameters (Å, degrees): 6.1653 6.1653 6.1653 125.92 125.92 80.02
Last column: nearest neighbours and their distance in Å.
Fractional positions:
Ba 0.2500 0.7500 0.5000  8 O 2.83-2.86
Ba 0.7500 0.2500 0.5000  8 O 2.83-2.86
Nb 0.0000 0.0000 0.0000  6 O 1.98-2.02
Au 0.5000 0.5000 0.0000  4 O 2.01
O 0.2028 0.7022 0.9051  1 Au 2.01, 1 Nb 2.02
O 0.2096 0.2096 0.0000  1 Nb 1.98
O 0.2978 0.2028 0.5006  1 Au 2.01, 1 Nb 2.02
O 0.7022 0.7972 0.4994  1 Au 2.01, 1 Nb 2.02
O 0.7904 0.7904 0.0000  1 Nb 1.98
O 0.7972 0.2978 0.0949  1 Au 2.01, 1 Nb 2.02

Entry 11:
DyCo2BP: optimized geometry, GGA-PBE.

Output
Electronic total energy ... -34.9 eV/cell
Symmetry ... I4mm, No. 107

Lattice parameters (Å, degrees): 5.3775 5.3775 5.3775 140.12 140.12 57.67
Last column: nearest neighbours and their distance in Å.
Fractional positions:
Dy 0.0000 0.0000 0.0000  4 P 2.87, 4 B 2.88, 8 Co 2.89-3.09
Co 0.2633 0.7633 0.5000  2 B 2.08, 2 P 2.22
Co 0.7633 0.2633 0.5000  2 B 2.08, 2 P 2.22
B 0.3671 0.3671 0.0000  4 Co 2.08
P 0.6296 0.6296 0.0000  4 Co 2.22, 1 B 2.47

Entry 12:
LaAlCdPt: optimized geometry, GGA-PBE.

Output
Electronic total energy ... -37.4 eV/cell
Symmetry ... Cmc2_1, No. 36

Lattice parameters (Å, degrees): 5.6103 5.6103 7.7159 90.00 90.00 133.47
Last column: nearest neighbours and their distance in Å.
Fractional positions:
La 0.0701 0.9299 0.5000  3 Pt 2.95-3.14, 3 Al 3.21-3.29
La 0.9299 0.0701 0.0000  3 Pt 2.95-3.14, 3 Al 3.21-3.29
Al 0.3392 0.6608 0.2903  3 Pt 2.71-2.73
Al 0.6608 0.3392 0.7903  3 Pt 2.71-2.73
Cd 0.3719 0.6281 0.6811  3 Pt 2.80-2.86, 2 Al 3.03-3.09
Cd 0.6281 0.3719 0.1811  3 Pt 2.80-2.86, 2 Al 3.03-3.09
Pt 0.2153 0.7847 0.9779  3 Al 2.71-2.73, 3 Cd 2.80-2.86, 1 La 2.95
Pt 0.7847 0.2153 0.4779  3 Al 2.71-2.73, 3 Cd 2.80-2.86, 1 La 2.95